w | PaCu2Ag | GGA-PBE | relaxed

```
PaCu2Ag
1.0
6.589 0.000 0.000
0.000 6.589 0.000
0.000 0.000 6.589
Pa Cu Ag
4 8 4
direct
0.000 0.000 0.000
0.000 0.500 0.500
0.500 0.000 0.500
0.500 0.500 0.000
0.250 0.250 0.250
0.250 0.250 0.750
0.250 0.750 0.250
0.250 0.750 0.750
0.750 0.250 0.250
0.750 0.250 0.750
0.750 0.750 0.250
0.750 0.750 0.750
0.000 0.000 0.500
0.000 0.500 0.000
0.500 0.000 0.000
0.500 0.500 0.500
```



x | PaCu2Ag | GGA-PBE | relaxed

```
PaCu2Ag
1.0
3.101 0.000 0.000
0.000 3.101 0.000
0.000 0.000 7.125
Pa Cu Ag
1 2 1
direct
0.000 0.000 0.000
0.500 0.500 0.281
0.500 0.500 0.719
0.000 0.000 0.500
```



Most stable of them? x.



w | CuAgPb2 | GGA-PBE | relaxed

```
CuAgPb2
1.0
7.174 0.000 0.000
0.000 7.174 0.000
0.000 0.000 7.174
Cu Ag Pb
4 4 8
direct
0.000 0.000 0.000
0.000 0.500 0.500
0.500 0.000 0.500
0.500 0.500 0.000
0.000 0.000 0.500
0.000 0.500 0.000
0.500 0.000 0.000
0.500 0.500 0.500
0.250 0.250 0.250
0.250 0.250 0.750
0.250 0.750 0.250
0.250 0.750 0.750
0.750 0.250 0.250
0.750 0.250 0.750
0.750 0.750 0.250
0.750 0.750 0.750
```



x | CuAgPb2 | GGA-PBE | relaxed

```
CuAgPb2
1.0
3.391 0.000 0.000
0.000 3.613 0.000
-0.308 0.000 7.501
Cu Ag Pb
1 1 2
direct
0.000 0.000 0.000
0.000 0.000 0.500
0.497 0.500 0.232
0.503 0.500 0.768
```



y | CuAgPb2 | GGA-PBE | relaxed

```
CuAgPb2
1.0
4.293 0.000 0.000
0.000 4.293 0.000
0.000 0.000 10.045
Cu Ag Pb
2 2 4
direct
0.000 0.000 0.000
0.500 0.500 0.500
0.000 0.500 0.250
0.500 0.000 0.750
0.000 0.000 0.500
0.000 0.500 0.750
0.500 0.000 0.250
0.500 0.500 0.000
```



z | CuAgPb2 | GGA-PBE | relaxed

```
CuAgPb2
1.0
3.804 0.000 0.000
0.000 4.465 0.000
-1.852 0.000 5.428
Cu Ag Pb
1 1 2
direct
0.000 0.000 0.000
0.858 0.500 0.707
0.280 0.000 0.546
0.569 0.500 0.142
```



Most stable of them? z.



w | Cu2Ag2Pb | GGA-PBE | relaxed

```
Cu2Ag2Pb
1.0
3.966 0.000 0.000
0.000 3.966 0.000
0.000 0.000 12.128
Cu Ag Pb
4 4 2
direct
0.000 0.000 0.099
0.000 0.000 0.901
0.500 0.500 0.401
0.500 0.500 0.599
0.000 0.500 0.250
0.000 0.500 0.750
0.500 0.000 0.250
0.500 0.000 0.750
0.000 0.000 0.500
0.500 0.500 0.000
```



x | Cu2Ag2Pb | GGA-PBE | relaxed

```
Cu2Ag2Pb
1.0
7.297 0.000 0.000
0.000 7.297 0.000
0.000 0.000 3.364
Cu Ag Pb
4 4 2
direct
0.125 0.375 0.000
0.375 0.875 0.000
0.625 0.125 0.000
0.875 0.625 0.000
0.163 0.663 0.500
0.337 0.163 0.500
0.663 0.837 0.500
0.837 0.337 0.500
0.000 0.000 0.000
0.500 0.500 0.000
```



Most stable of them? x.



w | Cu2Ag2Pb | GGA-PBE | relaxed

```
Cu2Ag2Pb
1.0
7.581 0.000 0.000
0.000 7.581 0.000
0.000 0.000 3.160
Cu Ag Pb
4 4 2
direct
0.160 0.340 0.000
0.340 0.840 0.000
0.660 0.160 0.000
0.840 0.660 0.000
0.133 0.633 0.500
0.367 0.133 0.500
0.633 0.867 0.500
0.867 0.367 0.500
0.000 0.000 0.500
0.500 0.500 0.500
```



x | Cu2Ag2Pb | GGA-PBE | relaxed

```
Cu2Ag2Pb
1.0
3.471 0.000 0.000
0.000 3.471 0.000
0.000 0.000 16.140
Cu Ag Pb
4 4 2
direct
0.000 0.500 0.250
0.000 0.500 0.750
0.500 0.000 0.250
0.500 0.000 0.750
0.000 0.000 0.122
0.000 0.000 0.878
0.500 0.500 0.378
0.500 0.500 0.622
0.000 0.000 0.500
0.500 0.500 0.000
```



Most stable of them? w.



w | CuAgPd2 | GGA-PBE | relaxed

```
CuAgPd2
1.0
2.833 0.000 0.000
0.000 2.833 0.000
0.000 0.000 7.578
Cu Ag Pd
1 1 2
direct
0.000 0.000 0.000
0.000 0.000 0.500
0.500 0.500 0.227
0.500 0.500 0.773
```



x | CuAgPd2 | GGA-PBE | relaxed

```
CuAgPd2
1.0
7.114 0.000 0.000
0.000 7.114 0.000
0.000 0.000 5.308
Cu Ag Pd
4 4 8
direct
0.000 0.000 0.000
0.000 0.500 0.250
0.500 0.000 0.750
0.500 0.500 0.500
0.000 0.000 0.500
0.000 0.500 0.750
0.500 0.000 0.250
0.500 0.500 0.000
0.221 0.750 0.125
0.250 0.221 0.875
0.250 0.279 0.375
0.279 0.750 0.625
0.721 0.250 0.625
0.750 0.721 0.375
0.750 0.779 0.875
0.779 0.250 0.125
```



Most stable of them? w.



w | CuAgPd2 | GGA-PBE | relaxed

```
CuAgPd2
1.0
2.710 0.000 0.000
0.000 4.644 0.000
0.000 0.000 10.534
Cu Ag Pd
2 2 4
direct
0.000 0.000 0.000
0.500 0.500 0.500
0.000 0.000 0.500
0.500 0.500 0.000
0.000 0.000 0.237
0.000 0.000 0.763
0.500 0.500 0.263
0.500 0.500 0.737
```



x | CuAgPd2 | GGA-PBE | relaxed

```
CuAgPd2
1.0
3.960 0.000 0.000
0.000 3.960 0.000
0.000 0.000 3.899
Cu Ag Pd
1 1 2
direct
0.000 0.000 0.000
0.500 0.500 0.000
0.000 0.500 0.500
0.500 0.000 0.500
```



Most stable of them? x.



w | CuAgPd2 | GGA-PBE | relaxed

```
CuAgPd2
1.0
2.803 0.000 0.000
-1.401 2.427 0.000
0.000 0.000 26.937
Cu Ag Pd
3 3 6
direct
0.000 0.000 0.000
0.333 0.667 0.667
0.667 0.333 0.333
0.000 0.000 0.833
0.333 0.667 0.500
0.667 0.333 0.166
0.000 0.000 0.411
0.000 0.000 0.589
0.333 0.667 0.078
0.333 0.667 0.256
0.667 0.333 0.744
0.667 0.333 0.922
```



x | CuAgPd2 | GGA-PBE | relaxed

```
CuAgPd2
1.0
6.264 0.000 0.000
0.000 6.264 0.000
0.000 0.000 6.264
Cu Ag Pd
4 4 8
direct
0.000 0.000 0.000
0.000 0.500 0.500
0.500 0.000 0.500
0.500 0.500 0.000
0.000 0.000 0.500
0.000 0.500 0.000
0.500 0.000 0.000
0.500 0.500 0.500
0.250 0.250 0.250
0.250 0.250 0.750
0.250 0.750 0.250
0.250 0.750 0.750
0.750 0.250 0.250
0.750 0.250 0.750
0.750 0.750 0.250
0.750 0.750 0.750
```



Most stable of them? w.



w | Cu2AgPd8 | GGA-PBE | relaxed

```
Cu2AgPd8
1.0
3.594 -5.823 0.000
3.594 5.823 0.000
-2.015 0.000 4.192
Cu Ag Pd
2 1 8
direct
0.191 0.809 0.000
0.809 0.191 0.000
0.500 0.500 0.500
0.095 0.095 0.313
0.176 0.409 0.881
0.271 0.729 0.500
0.409 0.176 0.881
0.591 0.824 0.119
0.729 0.271 0.500
0.824 0.591 0.119
0.905 0.905 0.687
```



x | Cu2AgPd8 | GGA-PBE | relaxed

```
Cu2AgPd8
1.0
7.064 -1.947 0.000
7.064 1.947 0.000
-1.757 0.000 6.033
Cu Ag Pd
2 1 8
direct
0.228 0.228 0.136
0.772 0.772 0.864
0.500 0.500 0.500
0.049 0.049 0.225
0.142 0.142 0.699
0.316 0.316 0.587
0.403 0.403 0.039
0.597 0.597 0.961
0.684 0.684 0.413
0.858 0.858 0.301
0.951 0.951 0.775
```



Most stable of them? x.



w | Cu2Ag2Pd | GGA-PBE | relaxed

```
Cu2Ag2Pd
1.0
6.568 0.000 0.000
0.000 6.568 0.000
0.000 0.000 3.638
Cu Ag Pd
4 4 2
direct
0.129 0.371 0.000
0.371 0.871 0.000
0.629 0.129 0.000
0.871 0.629 0.000
0.171 0.671 0.500
0.329 0.171 0.500
0.671 0.829 0.500
0.829 0.329 0.500
0.000 0.000 0.000
0.500 0.500 0.000
```



x | Cu2Ag2Pd | GGA-PBE | relaxed

```
Cu2Ag2Pd
1.0
3.382 0.000 0.000
0.000 3.382 0.000
0.000 0.000 14.381
Cu Ag Pd
4 4 2
direct
0.000 0.500 0.250
0.000 0.500 0.750
0.500 0.000 0.250
0.500 0.000 0.750
0.000 0.000 0.104
0.000 0.000 0.896
0.500 0.500 0.396
0.500 0.500 0.604
0.000 0.000 0.500
0.500 0.500 0.000
```



Most stable of them? w.



w | Cu3AgPd2 | GGA-PBE | relaxed

```
Cu3AgPd2
1.0
3.917 -2.692 0.000
3.917 2.692 0.000
-3.911 0.000 8.078
Cu Ag Pd
6 2 4
direct
0.124 0.876 0.750
0.207 0.458 0.915
0.458 0.207 0.415
0.542 0.793 0.585
0.793 0.542 0.085
0.876 0.124 0.250
0.376 0.624 0.250
0.624 0.376 0.750
0.040 0.291 0.581
0.291 0.040 0.081
0.709 0.960 0.919
0.960 0.709 0.419
```



x | Cu3AgPd2 | GGA-PBE | relaxed

```
Cu3AgPd2
1.0
2.885 0.000 0.000
0.000 2.885 0.000
0.000 0.000 10.207
Cu Ag Pd
3 1 2
direct
0.000 0.000 0.000
0.000 0.000 0.324
0.000 0.000 0.676
0.500 0.500 0.500
0.500 0.500 0.163
0.500 0.500 0.837
```



Most stable of them? x.



w | Cu2AgPd2 | GGA-PBE | relaxed

```
Cu2AgPd2
1.0
3.762 0.000 0.000
0.000 3.762 0.000
0.000 0.000 11.451
Cu Ag Pd
4 2 4
direct
0.000 0.000 0.100
0.000 0.000 0.900
0.500 0.500 0.400
0.500 0.500 0.600
0.000 0.000 0.500
0.500 0.500 0.000
0.000 0.500 0.250
0.000 0.500 0.750
0.500 0.000 0.250
0.500 0.000 0.750
```



x | Cu2AgPd2 | GGA-PBE | relaxed

```
Cu2AgPd2
1.0
7.181 0.000 0.000
0.000 7.181 0.000
0.000 0.000 2.908
Cu Ag Pd
4 2 4
direct
0.125 0.375 0.000
0.375 0.875 0.000
0.625 0.125 0.000
0.875 0.625 0.000
0.000 0.000 0.000
0.500 0.500 0.000
0.170 0.670 0.500
0.330 0.170 0.500
0.670 0.830 0.500
0.830 0.330 0.500
```



y | Cu2AgPd2 | GGA-PBE | relaxed

```
Cu2AgPd2
1.0
7.317 0.000 0.000
0.000 7.317 0.000
0.000 0.000 2.847
Cu Ag Pd
4 2 4
direct
0.161 0.339 0.000
0.339 0.839 0.000
0.661 0.161 0.000
0.839 0.661 0.000
0.000 0.000 0.500
0.500 0.500 0.500
0.135 0.635 0.500
0.365 0.135 0.500
0.635 0.865 0.500
0.865 0.365 0.500
```



z | Cu2AgPd2 | GGA-PBE | relaxed

```
Cu2AgPd2
1.0
3.433 0.000 0.000
0.000 3.433 0.000
0.000 0.000 13.452
Cu Ag Pd
4 2 4
direct
0.000 0.500 0.250
0.000 0.500 0.750
0.500 0.000 0.250
0.500 0.000 0.750
0.000 0.000 0.000
0.500 0.500 0.500
0.000 0.000 0.394
0.000 0.000 0.606
0.500 0.500 0.106
0.500 0.500 0.894
```



Most stable of them? x.